A plane-wave DFT calculation with PBE-GGA was carried out for an optimized crystal structure of AcGdGa2.

Output
* E above lowest polymorph: 0.0 meV per atom
* DFT formation energy: -0.505 eV/atom
* M_tot: 7.1 μB/f.u.

The structure in POSCAR format:
```
AcGdGa2
1.0
-2.740 -0.905 -2.443
2.583 -0.488 -2.717
0.662 -7.184 1.919
Ga Ac Gd
2 1 1
Direct
0.000 0.000 0.781
0.000 0.000 0.219
0.500 0.500 0.500
0.500 0.500 0.000
```

***

A plane-wave DFT calculation with PBE-GGA was carried out for an optimized crystal structure of Re2AgHg.

Output
* DFT formation energy: 0.932 eV/atom
* M_tot: 0.0 μB/f.u.

The structure in POSCAR format:
```
Re2AgHg
1.0
4.639 0.000 0.000
0.000 3.820 0.000
0.000 0.000 3.820
Hg Re Ag
1 2 1
Direct
0.500 0.000 0.500
0.000 0.500 0.500
0.000 0.000 0.000
0.500 0.500 0.000
```